First-principles (PBE) data for CaGdTl after structural relaxation, as listed in Alexandria via LeMat-Bulk.

## Properties
calculated volume: 35.06 Å³ per atom
E_form: -0.1617 eV per atom
energy above the most stable polymorph in this dataset: 0.20 kcal/mol of atoms

Cell: 7.4930 7.4930 7.4930 Å, 90.00 90.00 90.00°
Space group F-43m (No. 216)
Symmetry-distinct sites (fractional):
Ca 0.0000 0.0000 0.0000
Gd 0.0000 0.0000 0.5000
Tl 0.2500 0.2500 0.2500

=====

First-principles (PBE) data for K2FeAs after structural relaxation, as listed in Alexandria via LeMat-Bulk.

## Properties
calculated volume: 25.21 Å³ per atom
E_form: 0.5556 eV per atom

Cell: 4.3872 4.3872 10.4787 Å, 90.00 90.00 90.00°
Space group I4/mmm (No. 139)
Symmetry-distinct sites (fractional):
K 0.0000 0.5000 0.2500
Fe 0.0000 0.0000 0.0000
As 0.0000 0.0000 0.5000

=====

First-principles (PBE) data for Mo2Pt after structural relaxation, as listed in Alexandria via LeMat-Bulk.

## Properties
calculated volume: 15.59 Å³ per atom
E_form: -0.1641 eV per atom
energy above the most stable polymorph in this dataset: 0.00 kcal/mol of atoms

Cell: 3.9749 3.9749 23.6863 Å, 90.00 90.00 90.00°
Space group I4_1/amd (No. 141, origin choice 2)
Symmetry-distinct sites (fractional):
Mo 0.0000 0.2500 0.1241
Mo 0.0000 0.2500 0.7928
Pt 0.0000 0.2500 0.2909

=====

First-principles (PBE) data for Ti2PdBr after structural relaxation, as listed in Alexandria via LeMat-Bulk.

## Properties
energy relative to the elements, uncorrected: -0.069 eV/atom
calculated volume: 16.85 Å³ per atom
energy above the most stable polymorph in this dataset: 0.00 kcal/mol of atoms

Cell: 6.4601 6.4601 6.4601 Å, 90.00 90.00 90.00°
Space group Fm-3m (No. 225)
Symmetry-distinct sites (fractional):
Ti 0.2500 0.2500 0.2500
Pd 0.0000 0.0000 0.0000
Br 0.0000 0.0000 0.5000

=====

First-principles (PBE) data for BaPbN2O after structural relaxation, as listed in Alexandria via LeMat-Bulk.

## Properties
energy relative to the elements, uncorrected: 1.145 eV/atom
calculated volume: 22.63 Å³ per atom

Cell: 4.8123 4.8123 4.8855 Å, 90.00 90.00 90.00°
Space group P4/mmm (No. 123)
Symmetry-distinct sites (fractional):
Ba 0.0000 0.0000 0.0000
Pb 0.5000 0.5000 0.5000
N 0.0000 0.5000 0.0000
O 0.0000 0.0000 0.5000

=====

First-principles (PBE) data for Lu2ZnGa after structural relaxation, as listed in Alexandria via LeMat-Bulk.

## Properties
calculated volume: 21.31 Å³ per atom
E_form: -0.4633 eV per atom
energy above the most stable polymorph in this dataset: 0.05 kcal/mol of atoms

Cell: 6.9864 6.9864 6.9864 Å, 90.00 90.00 90.00°
Space group Fm-3m (No. 225)
Symmetry-distinct sites (fractional):
Lu 0.2500 0.2500 0.2500
Zn 0.0000 0.0000 0.0000
Ga 0.0000 0.0000 0.5000

=====

First-principles (PBE) data for NaPr2Cd2Sn2 after structural relaxation, as listed in Alexandria via LeMat-Bulk.

## Properties
calculated volume: 29.45 Å³ per atom
E_form: -0.2468 eV per atom

Cell: 4.9918 4.9918 28.6625 Å, 90.00 90.00 120.00°
Space group R-3m (No. 166, hexagonal axes)
Symmetry-distinct sites (fractional):
Na 0.0000 0.0000 0.0000
Pr 0.0000 0.0000 0.1283
Cd 0.0000 0.0000 0.4014
Sn 0.0000 0.0000 0.2577

=====

First-principles (PBE) data for Th2NpPb after structural relaxation, as listed in Alexandria via LeMat-Bulk.

## Properties
calculated volume: 27.49 Å³ per atom
E_form: 0.5027 eV per atom

Cell: 3.8158 3.8158 26.1572 Å, 90.00 90.00 120.00°
Space group R-3m (No. 166, hexagonal axes)
Symmetry-distinct sites (fractional):
Th 0.0000 0.0000 0.2302
Np 0.0000 0.0000 0.5000
Pb 0.0000 0.0000 0.0000

=====

First-principles (PBE) data for NaGe4Pt4 after structural relaxation, as listed in Alexandria via LeMat-Bulk.

## Properties
calculated volume: 19.99 Å³ per atom
E_form: -0.4785 eV per atom

Cell: 8.6317 8.6317 4.8302 Å, 90.00 90.00 90.00°
Space group I4/m (No. 87)
Symmetry-distinct sites (fractional):
Na 0.0000 0.0000 0.0000
Ge 0.1178 0.6189 0.5000
Pt 0.1747 0.3249 0.5000

=====

First-principles (PBE) data for TbRu2C after structural relaxation, as listed in Alexandria via LeMat-Bulk.

## Properties
calculated volume: 15.44 Å³ per atom
E_form: -0.0426 eV per atom
energy above the most stable polymorph in this dataset: 0.00 kcal/mol of atoms

Cell: 4.8724 7.9765 3.1779 Å, 90.00 90.00 90.00°
Space group Cmmm (No. 65)
Symmetry-distinct sites (fractional):
Tb 0.0000 0.0000 0.0000
Ru 0.0000 0.3369 0.5000
C 0.0000 0.5000 0.0000

=====

First-principles (PBE) data for KAgSe after structural relaxation, as listed in Alexandria via LeMat-Bulk.

## Properties
energy relative to the elements, uncorrected: -0.667 eV/atom
calculated volume: 26.74 Å³ per atom

Cell: 4.5517 4.5517 7.7427 Å, 90.00 90.00 90.00°
Space group P4/nmm (No. 129, origin choice 2)
Symmetry-distinct sites (fractional):
K 0.2500 0.2500 0.1619
Ag 0.2500 0.7500 0.5000
Se 0.2500 0.2500 0.7164

=====

First-principles (PBE) data for ZrSc4Al2 after structural relaxation, as listed in Alexandria via LeMat-Bulk.

## Properties
calculated volume: 21.66 Å³ per atom
E_form: -0.2431 eV per atom
energy above the most stable polymorph in this dataset: 0.00 kcal/mol of atoms

Cell: 4.8862 4.8862 22.0036 Å, 90.00 90.00 120.00°
Space group R-3m (No. 166, hexagonal axes)
Symmetry-distinct sites (fractional):
Zr 0.0000 0.0000 0.0000
Sc 0.0000 0.0000 0.1354
Sc 0.0000 0.0000 0.4084
Al 0.0000 0.0000 0.2709

=====

First-principles (PBE) data for LiPtCl2 after structural relaxation, as listed in Alexandria via LeMat-Bulk.

## Properties
energy relative to the elements, uncorrected: -0.592 eV/atom
calculated volume: 17.90 Å³ per atom
energy above the most stable polymorph in this dataset: 3.00 kcal/mol of atoms

Cell: 3.6955 3.6955 5.2435 Å, 90.00 90.00 90.00°
Space group P4mm (No. 99)
Symmetry-distinct sites (fractional):
Li 0.0000 0.0000 0.0000
Pt 0.5000 0.5000 0.4986
Cl 0.0000 0.0000 0.4990
Cl 0.5000 0.5000 0.9985